VASP calculation (PBE) on an optimized crystal structure of Ac2CeEr2Hg5.

abc: 11.920 11.920 4.223
angles: 90.00 90.00 90.00
Element x y z (fractional)
1 Ac 0.175 0.325 0.000
2 Ac 0.325 0.825 0.000
3 Ac 0.675 0.175 0.000
4 Ac 0.825 0.675 0.000
5 Ce 0.000 0.000 0.000
6 Ce 0.500 0.500 0.000
7 Er 0.125 0.625 0.000
8 Er 0.375 0.125 0.000
9 Er 0.625 0.875 0.000
10 Er 0.875 0.375 0.000
11 Hg 0.000 0.500 0.500
12 Hg 0.079 0.808 0.500
13 Hg 0.192 0.079 0.500
14 Hg 0.308 0.579 0.500
15 Hg 0.421 0.308 0.500
16 Hg 0.500 0.000 0.500
17 Hg 0.579 0.692 0.500
18 Hg 0.692 0.421 0.500
19 Hg 0.808 0.921 0.500
20 Hg 0.921 0.192 0.500

Results
D(E_F) in states/eV/cell: 27.96
Formation energy from the elements in eV/atom: -0.30

---

VASP calculation (PBE) on an optimized crystal structure of NaNpPb2.

abc: 3.290 3.290 10.196
angles: 90.00 90.00 90.00
Element x y z (fractional)
1 Na 0.000 0.000 0.000
2 Np 0.000 0.000 0.500
3 Pb 0.500 0.500 0.250
4 Pb 0.500 0.500 0.750

Results
D(E_F) in states/eV/cell: 6.59
Excess energy over the best structure of this formula in the dataset in meV per atom: 0.0
Formation energy from the elements in eV/atom: 0.04

---

VASP calculation (PBE) on an optimized crystal structure of Sm4HgRu.

abc: 9.770 9.770 9.770
angles: 60.00 60.00 60.00
Element x y z (fractional)
1 Sm 0.189 0.189 0.811
2 Sm 0.189 0.811 0.189
3 Sm 0.189 0.811 0.811
4 Sm 0.403 0.403 0.403
5 Sm 0.403 0.403 0.792
6 Sm 0.403 0.792 0.403
7 Sm 0.559 0.559 0.941
8 Sm 0.559 0.941 0.559
9 Sm 0.559 0.941 0.941
10 Sm 0.792 0.403 0.403
11 Sm 0.811 0.189 0.189
12 Sm 0.811 0.189 0.811
13 Sm 0.811 0.811 0.189
14 Sm 0.941 0.559 0.559
15 Sm 0.941 0.559 0.941
16 Sm 0.941 0.941 0.559
17 Hg 0.167 0.167 0.167
18 Hg 0.167 0.167 0.500
19 Hg 0.167 0.500 0.167
20 Hg 0.500 0.167 0.167
21 Ru 0.164 0.612 0.612
22 Ru 0.612 0.164 0.612
23 Ru 0.612 0.612 0.164
24 Ru 0.612 0.612 0.612

Results
D(E_F) in states/eV/cell: 26.41
Excess energy over the best structure of this formula in the dataset in meV per atom: 0.0
Formation energy from the elements in eV/atom: -0.34

---

VASP calculation (PBE) on an optimized crystal structure of Sc2CuSi.

abc: 3.414 3.414 23.031
angles: 90.00 90.00 120.00
Element x y z (fractional)
1 Sc 0.000 0.000 0.249
2 Sc 0.000 0.000 0.751
3 Sc 0.333 0.667 0.418
4 Sc 0.333 0.667 0.916
5 Sc 0.667 0.333 0.084
6 Sc 0.667 0.333 0.582
7 Cu 0.000 0.000 0.000
8 Cu 0.333 0.667 0.667
9 Cu 0.667 0.333 0.333
10 Si 0.000 0.000 0.500
11 Si 0.333 0.667 0.167
12 Si 0.667 0.333 0.833

Results
Formation energy without anion corrections in eV per atom: -0.162
D(E_F) in states/eV/cell: 17.56